(1)
DFT (PBEsol) results for a relaxed MnCuSi2 crystal.

The structure in extended XYZ format:
```
4
Lattice="2.707 0.000 0.000 1.354 2.344 0.000 1.354 0.781 7.734" Properties=species:S:1:pos:R:3 pbc="T T T"
Cu 2.707 1.563 3.907
Si 4.061 2.344 0.067
Mn 1.354 0.781 1.857
Si 4.061 2.344 5.771
```

Values from the calculation:
DOS(E_F)	2.286	states/eV per cell
E_form (uncorrected)	125	meV per atom

***

(2)
DFT (PBEsol) results for a relaxed Al2B2Rh crystal.

The structure in extended XYZ format:
```
10
Lattice="3.275 0.000 0.000 0.000 5.616 0.000 0.000 0.000 5.616" Properties=species:S:1:pos:R:3 pbc="T T T"
B 0.000 5.007 3.416
B 0.000 0.609 2.199
Rh 0.000 2.808 2.808
Rh 0.000 0.000 0.000
B 0.000 2.199 5.007
Al 1.638 1.012 3.820
Al 1.638 1.796 1.012
B 0.000 3.416 0.609
Al 1.638 4.603 1.796
Al 1.638 3.820 4.603
```

Values from the calculation:
DOS(E_F)	1.466	states/eV per cell
DFT total energy	-6.45	eV/atom

***

(3)
DFT (PBEsol) results for a relaxed TaFe3Tc crystal.

The structure in extended XYZ format:
```
5
Lattice="-3.059 -2.538 1.519 2.928 -2.904 1.046 0.413 1.797 3.835" Properties=species:S:1:pos:R:3 pbc="T T T"
Fe -1.530 -1.269 0.759
Fe 1.464 -1.452 0.523
Fe 0.206 0.899 1.917
Tc 0.000 0.000 0.000
Ta 0.141 -1.822 3.199
```

Values from the calculation:
DOS(E_F)	5.930	states/eV per cell
DFT total energy	-8.71	eV/atom

***

(4)
DFT (PBEsol) results for a relaxed Rb3Bi2I9 crystal.

The structure in extended XYZ format:
```
28
Lattice="-7.347 -3.793 0.390 6.451 -2.676 4.442 -5.478 14.222 14.733" Properties=species:S:1:pos:R:3 pbc="T T T"
I -1.239 4.651 6.930
Rb 4.510 0.834 7.957
I -5.134 3.103 12.635
Bi -7.130 8.823 14.073
Rb -3.008 10.241 16.804
Rb -5.313 2.722 7.957
I -8.182 4.368 9.909
I -4.286 7.455 13.545
I 1.808 3.386 9.656
I -7.465 8.503 10.874
I -0.250 -3.834 5.898
I -4.186 5.877 9.455
Bi -6.161 5.704 11.631
Bi 0.757 -1.069 5.492
I -9.931 9.769 14.379
I 0.262 -1.096 2.591
I -2.187 1.878 10.110
I 3.558 -2.015 5.186
Rb -10.883 6.921 11.607
Rb -3.365 -2.487 2.760
I 1.832 1.923 5.433
I -2.087 0.300 6.020
I -6.124 11.589 13.667
I 1.092 -0.749 8.691
Rb -1.060 5.032 11.608
I -6.635 8.850 16.974
I -8.205 5.831 14.131
Bi -0.213 2.050 7.933
```

Values from the calculation:
DOS(E_F)	0.000	states/eV per cell
E_form (uncorrected)	-897	meV per atom

***

(5)
DFT (PBEsol) results for a relaxed Sr3Li2Nb4O13 crystal.

The structure in extended XYZ format:
```
22
Lattice="-1.117 -3.645 -1.262 3.635 -1.434 0.926 -6.755 -1.227 15.910" Properties=species:S:1:pos:R:3 pbc="T T T"
O -1.649 -4.533 8.163
Sr 1.259 -2.540 -0.168
Nb -1.982 -1.358 5.677
Li -3.306 -3.706 7.240
O -3.038 -4.045 14.371
Nb -3.583 -5.859 13.702
O -1.198 -2.261 1.202
O -1.770 -3.177 10.741
O -0.090 -2.024 5.926
O 0.000 0.000 0.000
O -2.941 -5.419 11.863
O -2.466 -3.130 4.832
Li -0.930 -2.601 8.334
O -1.295 -0.888 3.710
Sr -0.098 -3.470 3.719
Nb -0.653 -0.448 1.871
O -2.587 -1.773 7.411
Nb -2.254 -4.948 9.897
O 1.178 -1.156 2.296
Sr -4.138 -2.837 11.854
O -4.146 -4.282 9.647
O -5.414 -5.151 13.277
```

Values from the calculation:
DOS(E_F)	4.133	states/eV per cell
E_form (uncorrected)	-2721	meV per atom

***

(6)
DFT (PBEsol) results for a relaxed Y2OF crystal.

The structure in extended XYZ format:
```
8
Lattice="-2.341 3.962 -2.774 -3.565 -3.496 -1.985 -0.275 0.731 6.480" Properties=species:S:1:pos:R:3 pbc="T T T"
Y -3.390 2.230 -1.476
Y -1.042 0.511 4.211
Y -4.130 -1.283 -1.232
Y -3.800 0.934 1.940
O -2.785 2.463 0.663
O -2.953 0.233 -2.379
F 0.000 0.000 0.000
F -3.396 -1.266 1.058
```

Values from the calculation:
DOS(E_F)	6.482	states/eV per cell
E_form (uncorrected)	-2543	meV per atom

***

(7)
DFT (PBEsol) results for a relaxed LiAl2Ru crystal.

The structure in extended XYZ format:
```
4
Lattice="3.009 0.000 0.000 0.000 4.209 0.000 0.000 0.000 4.209" Properties=species:S:1:pos:R:3 pbc="T T T"
Al 0.000 0.000 2.104
Ru 1.505 2.104 2.104
Al 0.000 2.104 0.000
Li 1.505 0.000 0.000
```

Values from the calculation:
DOS(E_F)	1.500	states/eV per cell
DFT total energy	-5.52	eV/atom

***

(8)
DFT (PBEsol) results for a relaxed NaCaIr2Au crystal.

The structure in extended XYZ format:
```
5
Lattice="4.576 0.000 0.000 0.000 4.744 0.000 0.000 0.000 4.744" Properties=species:S:1:pos:R:3 pbc="T T T"
Na 2.288 0.000 0.000
Au 2.288 2.372 2.372
Ir 0.000 0.000 2.372
Ca 0.000 0.000 0.000
Ir 0.000 2.372 0.000
```

Values from the calculation:
DOS(E_F)	6.233	states/eV per cell
DFT total energy	-3.70	eV/atom

***

The calculation returns the following magnetization values, one per record and in order: 2.07, 0.00, 3.26, 0.00, 0.00, 2.00, 0.00, 0.53 μB per cell.